1.
Here is crystalline LaHfZr2 at its relaxed geometry from Alexandria via LeMat-Bulk. Energies are from GGA-PBE.

Properties
- Total DFT energy (no corrections): -7.3551 eV/atom
- Calculated density: 7.92 Mg/m³
- Energy of formation: 0.6392 eV per atom

```
data_LaHfZr2
_cell_length_a 8.163
_cell_length_b 8.163
_cell_length_c 6.573
_cell_angle_alpha 51.62
_cell_angle_beta 51.62
_cell_angle_gamma 90.00
_symmetry_space_group_name_H-M 'P 1'
_symmetry_Int_Tables_number 1
_symmetry_space_group_name_Hall 'P 1'
loop_
_atom_site_label
_atom_site_type_symbol
_atom_site_fract_x
_atom_site_fract_y
_atom_site_fract_z
Zr1 Zr 0.875 0.889 0.750
Zr2 Zr 0.375 0.361 0.750
Zr3 Zr 0.111 0.625 0.250
La1 La 0.250 0.750 0.500
Hf1 Hf 0.750 0.250 0.500
Hf2 Hf 0.000 0.000 0.000
La2 La 0.500 0.500 0.000
Zr4 Zr 0.639 0.125 0.250
```

***

2.
Here is crystalline NaBeB3 at its relaxed geometry from Alexandria via LeMat-Bulk. Energies are from GGA-PBE.

Properties
- Total DFT energy (no corrections): -1.9046 eV/atom
- Calculated density: 1.35 Mg/m³
- Energy of formation: 3.1109 eV per atom

```
data_NaBeB3
_cell_length_a 4.298
_cell_length_b 4.298
_cell_length_c 4.298
_cell_angle_alpha 90.00
_cell_angle_beta 90.00
_cell_angle_gamma 90.00
_symmetry_space_group_name_H-M 'P 1'
_symmetry_Int_Tables_number 1
_symmetry_space_group_name_Hall 'P 1'
loop_
_atom_site_label
_atom_site_type_symbol
_atom_site_fract_x
_atom_site_fract_y
_atom_site_fract_z
B1 B 0.000 0.000 0.500
Na1 Na 0.000 0.000 0.000
B2 B 0.500 0.000 0.000
B3 B 0.000 0.500 0.000
Be1 Be 0.500 0.500 0.500
```

***

3.
Here is crystalline PmErAs at its relaxed geometry from Alexandria via LeMat-Bulk. Energies are from GGA-PBE.

Properties
- Total DFT energy (no corrections): -5.3496 eV/atom
- Calculated density: 7.71 Mg/m³
- Energy of formation: -0.6953 eV per atom

```
data_PmErAs
_cell_length_a 3.645
_cell_length_b 3.657
_cell_length_c 12.636
_cell_angle_alpha 81.68
_cell_angle_beta 90.00
_cell_angle_gamma 90.00
_symmetry_space_group_name_H-M 'P 1'
_symmetry_Int_Tables_number 1
_symmetry_space_group_name_Hall 'P 1'
loop_
_atom_site_label
_atom_site_type_symbol
_atom_site_fract_x
_atom_site_fract_y
_atom_site_fract_z
Pm1 Pm 0.250 0.431 0.138
Er1 Er 0.750 0.700 0.600
As1 As 0.750 0.866 0.268
Er2 Er 0.250 0.300 0.400
Pm2 Pm 0.750 0.569 0.862
As2 As 0.250 0.134 0.732
```

***

4.
Here is crystalline CeLuTi at its relaxed geometry from Alexandria via LeMat-Bulk. Energies are from GGA-PBE.

Properties
- Total DFT energy (no corrections): -5.9496 eV/atom
- Calculated density: 8.32 Mg/m³
- Energy of formation: 0.1670 eV per atom

```
data_CeLuTi
_cell_length_a 3.304
_cell_length_b 5.032
_cell_length_c 5.032
_cell_angle_alpha 120.00
_cell_angle_beta 90.00
_cell_angle_gamma 90.00
_symmetry_space_group_name_H-M 'P 1'
_symmetry_Int_Tables_number 1
_symmetry_space_group_name_Hall 'P 1'
loop_
_atom_site_label
_atom_site_type_symbol
_atom_site_fract_x
_atom_site_fract_y
_atom_site_fract_z
Ti1 Ti 0.167 0.333 0.667
Ce1 Ce 0.167 0.000 0.000
Lu1 Lu 0.667 0.667 0.333
```

***

5.
Here is crystalline TaSiTe2 at its relaxed geometry from Alexandria via LeMat-Bulk. Energies are from GGA-PBE.

Properties
- Total DFT energy (no corrections): -5.1885 eV/atom
- Calculated density: 6.10 Mg/m³
- Formation energy (no corrections): 0.701 eV per atom

```
data_TaSiTe2
_cell_length_a 6.598
_cell_length_b 6.598
_cell_length_c 7.445
_cell_angle_alpha 63.70
_cell_angle_beta 63.70
_cell_angle_gamma 90.00
_symmetry_space_group_name_H-M 'P 1'
_symmetry_Int_Tables_number 1
_symmetry_space_group_name_Hall 'P 1'
loop_
_atom_site_label
_atom_site_type_symbol
_atom_site_fract_x
_atom_site_fract_y
_atom_site_fract_z
Te1 Te 0.875 0.885 0.750
Si1 Si 0.500 0.500 0.000
Te2 Te 0.635 0.125 0.250
Te3 Te 0.115 0.625 0.250
Te4 Te 0.375 0.365 0.750
Si2 Si 0.250 0.750 0.500
Ta1 Ta 0.750 0.250 0.500
Ta2 Ta 0.000 0.000 0.000
```

***

6.
Here is crystalline Nb2Zn4Te at its relaxed geometry from Alexandria via LeMat-Bulk. Energies are from GGA-PBE.

Properties
- Total DFT energy (no corrections): -3.1339 eV/atom
- Calculated density: 5.22 Mg/m³
- Formation energy (no corrections): 0.920 eV per atom

```
data_Nb2Zn4Te
_cell_length_a 5.226
_cell_length_b 5.226
_cell_length_c 7.646
_cell_angle_alpha 70.02
_cell_angle_beta 70.02
_cell_angle_gamma 90.00
_symmetry_space_group_name_H-M 'P 1'
_symmetry_Int_Tables_number 1
_symmetry_space_group_name_Hall 'P 1'
loop_
_atom_site_label
_atom_site_type_symbol
_atom_site_fract_x
_atom_site_fract_y
_atom_site_fract_z
Zn1 Zn 0.211 0.211 0.579
Zn2 Zn 0.789 0.789 0.421
Zn3 Zn 0.500 0.000 0.000
Nb1 Nb 0.586 0.586 0.827
Nb2 Nb 0.414 0.414 0.173
Te1 Te 0.000 0.000 0.000
Zn4 Zn 0.000 0.500 0.000
```

***

7.
Here is crystalline CaPmBiBr at its relaxed geometry from Alexandria via LeMat-Bulk. Energies are from GGA-PBE.

Properties
- Total DFT energy (no corrections): -4.0459 eV/atom
- Calculated density: 6.71 Mg/m³
- Formation energy (no corrections): -0.969 eV per atom

```
data_CaPmBiBr
_cell_length_a 5.496
_cell_length_b 5.496
_cell_length_c 5.496
_cell_angle_alpha 60.00
_cell_angle_beta 60.00
_cell_angle_gamma 60.00
_symmetry_space_group_name_H-M 'P 1'
_symmetry_Int_Tables_number 1
_symmetry_space_group_name_Hall 'P 1'
loop_
_atom_site_label
_atom_site_type_symbol
_atom_site_fract_x
_atom_site_fract_y
_atom_site_fract_z
Br1 Br 0.750 0.750 0.750
Pm1 Pm 0.000 0.000 0.000
Bi1 Bi 0.250 0.250 0.250
Ca1 Ca 0.500 0.500 0.500
```

***

8.
Here is crystalline YSb at its relaxed geometry from Alexandria via LeMat-Bulk. Energies are from GGA-PBE.

Properties
- Total DFT energy (no corrections): -6.2237 eV/atom
- Calculated density: 5.65 Mg/m³
- Formation energy (no corrections): -0.930 eV per atom

```
data_YSb
_cell_length_a 4.288
_cell_length_b 4.288
_cell_length_c 3.891
_cell_angle_alpha 90.00
_cell_angle_beta 90.00
_cell_angle_gamma 120.00
_symmetry_space_group_name_H-M 'P 1'
_symmetry_Int_Tables_number 1
_symmetry_space_group_name_Hall 'P 1'
loop_
_atom_site_label
_atom_site_type_symbol
_atom_site_fract_x
_atom_site_fract_y
_atom_site_fract_z
Sb1 Sb 0.333 0.667 0.500
Y1 Y 0.000 0.000 0.000
```

***

9.
Here is crystalline Tl8CdIn2 at its relaxed geometry from Alexandria via LeMat-Bulk. Energies are from GGA-PBE.

Properties
- Total DFT energy (no corrections): -2.2011 eV/atom
- Calculated density: 9.08 Mg/m³
- Energy of formation: 0.1009 eV per atom

```
data_Tl8CdIn2
_cell_length_a 5.696
_cell_length_b 8.254
_cell_length_c 8.254
_cell_angle_alpha 74.83
_cell_angle_beta 78.03
_cell_angle_gamma 78.03
_symmetry_space_group_name_H-M 'P 1'
_symmetry_Int_Tables_number 1
_symmetry_space_group_name_Hall 'P 1'
loop_
_atom_site_label
_atom_site_type_symbol
_atom_site_fract_x
_atom_site_fract_y
_atom_site_fract_z
Tl1 Tl 0.688 0.604 0.604
Cd1 Cd 0.000 0.000 0.000
In1 In 0.475 0.130 0.130
Tl2 Tl 0.203 0.814 0.341
Tl3 Tl 0.100 0.750 0.750
Tl4 Tl 0.312 0.396 0.396
Tl5 Tl 0.797 0.186 0.659
Tl6 Tl 0.797 0.659 0.186
In2 In 0.525 0.870 0.870
Tl7 Tl 0.203 0.341 0.814
Tl8 Tl 0.900 0.250 0.250
```

***

10.
Here is crystalline BeOsBr2 at its relaxed geometry from Alexandria via LeMat-Bulk. Energies are from GGA-PBE.

Properties
- Total DFT energy (no corrections): -4.1120 eV/atom
- Calculated density: 7.23 Mg/m³
- Formation energy (no corrections): 0.463 eV per atom

```
data_BeOsBr2
_cell_length_a 3.207
_cell_length_b 3.207
_cell_length_c 8.022
_cell_angle_alpha 90.00
_cell_angle_beta 90.00
_cell_angle_gamma 90.00
_symmetry_space_group_name_H-M 'P 1'
_symmetry_Int_Tables_number 1
_symmetry_space_group_name_Hall 'P 1'
loop_
_atom_site_label
_atom_site_type_symbol
_atom_site_fract_x
_atom_site_fract_y
_atom_site_fract_z
Br1 Br 0.000 0.000 0.894
Os1 Os 0.000 0.000 0.590
Be1 Be 0.500 0.500 0.669
Br2 Br 0.500 0.500 0.347
```

***

11.
Here is crystalline BaZr2Sb at its relaxed geometry from Alexandria via LeMat-Bulk. Energies are from GGA-PBE.

Properties
- Total DFT energy (no corrections): -5.5534 eV/atom
- Calculated density: 6.62 Mg/m³
- Formation energy (no corrections): 0.232 eV per atom

```
data_BaZr2Sb
_cell_length_a 5.391
_cell_length_b 5.391
_cell_length_c 5.391
_cell_angle_alpha 60.00
_cell_angle_beta 60.00
_cell_angle_gamma 60.00
_symmetry_space_group_name_H-M 'P 1'
_symmetry_Int_Tables_number 1
_symmetry_space_group_name_Hall 'P 1'
loop_
_atom_site_label
_atom_site_type_symbol
_atom_site_fract_x
_atom_site_fract_y
_atom_site_fract_z
Ba1 Ba 0.500 0.500 0.500
Zr1 Zr 0.250 0.250 0.250
Sb1 Sb 0.750 0.750 0.750
Zr2 Zr 0.000 0.000 0.000
```

***

Look up the calculated density of the seventh one.
6.71 Mg/m³

***

What is the formula in the first record?
LaHfZr2

***

Number 6 is which compound?
Nb2Zn4Te

***

Which value of calculated density does entry 8 give?
5.65 Mg/m³